Entry 1:
Below is LiBe3 after structural relaxation, with properties calculated at the PBE level.

a b c (Å): 2.3005 2.3005 7.9621
angles (deg): 90.00 90.00 120.00
Atoms (fractional coordinates):
Be 0.0000 0.0000 0.0203
Be 0.0000 0.0000 0.4797
Be 0.6667 0.3333 0.2500
Li 0.6667 0.3333 0.7500

Properties
- E_form (eV per formula unit) = 0.53
- raw total energy (eV/cell) = -12.6
- symmetry = No. 187
- relative energy among the computed polymorphs (meV/atom) = 104

---

Entry 2:
Below is ErCdAg2 after structural relaxation, with properties calculated at the PBE level.

a b c (Å): 4.9179 4.9179 4.9179
angles (deg): 60.00 60.00 60.00
Atoms (fractional coordinates):
Cd 0.5000 0.5000 0.5000
Ag 0.7500 0.7500 0.7500
Ag 0.2500 0.2500 0.2500
Er 0.0000 0.0000 0.0000

Properties
- E_form (eV per formula unit) = -1.06
- raw total energy (eV/cell) = -12.2
- symmetry = No. 225
- relative energy among the computed polymorphs (meV/atom) = 9

---

Entry 3:
Below is CuTe2 after structural relaxation, with properties calculated at the PBE level.

a b c (Å): 4.1288 4.1288 11.0859
angles (deg): 90.00 90.00 120.00
Atoms (fractional coordinates):
Cu 0.0000 0.0000 0.0000
Cu 0.0000 0.0000 0.5000
Te 0.3333 0.6667 0.8772
Te 0.6667 0.3333 0.3772
Te 0.3333 0.6667 0.6228
Te 0.6667 0.3333 0.1228

Properties
- uncorrected formation energy (eV/atom) = 0.012
- raw total energy (eV/cell) = -20.7
- symmetry = No. 194

---

Entry 4:
Below is Pm4DyGa after structural relaxation, with properties calculated at the PBE level.

a b c (Å): 3.7486 6.4764 8.7192
angles (deg): 75.21 102.39 73.18
Atoms (fractional coordinates):
Pm 0.3670 0.9676 0.2001
Pm 0.6361 0.0269 0.7955
Pm 0.7819 0.5759 0.6396
Pm 0.2206 0.4185 0.3576
Dy 0.5010 0.4977 0.9986
Ga 0.0011 0.9970 0.4973

Properties
- E_form (eV per formula unit) = -0.92
- raw total energy (eV/cell) = -27.6
- symmetry = No. 8

---

Entry 5:
Below is Ho2MgBi after structural relaxation, with properties calculated at the PBE level.

a b c (Å): 4.0325 4.0325 6.7610
angles (deg): 90.00 90.00 90.00
Atoms (fractional coordinates):
Mg 0.5000 0.5000 0.0000
Bi 0.5000 0.5000 0.5000
Ho 0.0000 0.0000 0.7478
Ho 0.0000 0.0000 0.2522

Properties
- E_form (eV per formula unit) = -1.55
- raw total energy (eV/cell) = -16.2
- symmetry = No. 123
- relative energy among the computed polymorphs (meV/atom) = 0

---

Entry 6:
Below is K2RbIrPd after structural relaxation, with properties calculated at the PBE level.

a b c (Å): 6.2933 4.9527 6.2933
angles (deg): 90.00 90.00 90.00
Atoms (fractional coordinates):
K 0.0000 0.0000 0.5000
K 0.5000 0.0000 0.0000
Ir 0.0000 0.5000 0.0000
Rb 0.0000 0.0000 0.0000
Pd 0.5000 0.5000 0.5000

Properties
- E_form (eV per formula unit) = 6.80
- raw total energy (eV/cell) = -10.4
- symmetry = No. 123

---

Entry 7:
Below is LaAg3Cl after structural relaxation, with properties calculated at the PBE level.

a b c (Å): 5.1315 5.1315 5.1315
angles (deg): 90.00 90.00 90.00
Atoms (fractional coordinates):
Cl 0.0000 0.0000 0.0000
Ag 0.0000 0.5000 0.0000
Ag 0.0000 0.0000 0.5000
Ag 0.5000 0.0000 0.0000
La 0.5000 0.5000 0.5000

Properties
- uncorrected formation energy (eV/atom) = 0.384
- raw total energy (eV/cell) = -13.4
- symmetry = No. 221
- relative energy among the computed polymorphs (meV/atom) = 0

---

Entry 8:
Below is PuHg2BiO6 after structural relaxation, with properties calculated at the PBE level.

a b c (Å): 4.4615 6.0668 6.0668
angles (deg): 90.00 90.00 90.00
Atoms (fractional coordinates):
Pu 0.6443 0.0000 0.0000
Hg 0.1455 0.5000 0.0000
Hg 0.1455 0.0000 0.5000
Bi 0.6452 0.5000 0.5000
O 0.6442 0.2287 0.2287
O 0.6442 0.2287 0.7713
O 0.1451 0.5000 0.5000
O 0.1441 0.0000 0.0000
O 0.6442 0.7713 0.7713
O 0.6442 0.7713 0.2287

Properties
- uncorrected formation energy (eV/atom) = -1.172
- raw total energy (eV/cell) = -60.3
- symmetry = No. 99

---

Entry 9:
Below is Ce8GeSe4S3 after structural relaxation, with properties calculated at the PBE level.

a b c (Å): 8.2564 8.3028 8.2563
angles (deg): 119.81 120.00 90.00
Atoms (fractional coordinates):
Ce 0.2492 0.7388 0.9896
Ce 0.2492 0.7388 0.4983
Ce 0.2554 0.2661 0.5107
Ce 0.7405 0.7388 0.9896
Ce 0.2595 0.2612 0.0104
Ce 0.7446 0.7339 0.4893
Ce 0.7508 0.2612 0.5017
Ce 0.7508 0.2612 0.0104
Ge 0.0000 0.5000 0.0000
Se 0.5000 0.0000 0.0000
Se 0.5000 0.0000 0.5000
Se 0.0000 0.0000 0.0000
Se 0.0000 0.0000 0.5000
S 0.5000 0.5000 0.0000
S 0.5000 0.5000 0.5000
S 0.0000 0.5000 0.5000

Properties
- uncorrected formation energy (eV/atom) = -1.773
- raw total energy (eV/cell) = -106.8
- symmetry = No. 166

---

Entry 10:
Below is Ce2SiPd14 after structural relaxation, with properties calculated at the PBE level.

a b c (Å): 9.0033 9.0033 7.0043
angles (deg): 90.00 90.00 90.00
Atoms (fractional coordinates):
Ce 0.5000 0.0000 0.9304
Ce 0.0000 0.5000 0.0696
Ce 0.0000 0.0000 0.5000
Ce 0.5000 0.5000 0.5000
Si 0.5000 0.0000 0.4424
Si 0.0000 0.5000 0.5576
Pd 0.3357 0.8357 0.6134
Pd 0.3357 0.1643 0.6134
Pd 0.6643 0.8357 0.6134
Pd 0.6643 0.1643 0.6134
Pd 0.1643 0.6643 0.3866
Pd 0.1643 0.3357 0.3866
Pd 0.8357 0.6643 0.3866
Pd 0.8357 0.3357 0.3866
Pd 0.5000 0.7703 0.2544
Pd 0.5000 0.2297 0.2544
Pd 0.2703 0.0000 0.2544
Pd 0.7297 0.0000 0.2544
Pd 0.0000 0.7297 0.7456
Pd 0.0000 0.2703 0.7456
Pd 0.2297 0.5000 0.7456
Pd 0.7703 0.5000 0.7456
Pd 0.5000 0.3494 0.8490
Pd 0.5000 0.6506 0.8490
Pd 0.8494 0.0000 0.8490
Pd 0.1506 0.0000 0.8490
Pd 0.0000 0.1506 0.1510
Pd 0.0000 0.8494 0.1510
Pd 0.6506 0.5000 0.1510
Pd 0.3494 0.5000 0.1510
Pd 0.2500 0.7500 0.0000
Pd 0.2500 0.2500 0.0000
Pd 0.7500 0.7500 0.0000
Pd 0.7500 0.2500 0.0000

Properties
- uncorrected formation energy (eV/atom) = -0.567
- raw total energy (eV/cell) = -199.3
- symmetry = No. 129

---

Entry 11:
Below is LaOs2Rh after structural relaxation, with properties calculated at the PBE level.

a b c (Å): 5.1907 5.1907 5.1907
angles (deg): 133.93 133.93 67.20
Atoms (fractional coordinates):
La 0.0000 0.0000 0.0000
Os 0.7500 0.2500 0.5000
Os 0.2500 0.7500 0.5000
Rh 0.5000 0.5000 0.0000

Properties
- E_form (eV per formula unit) = 2.02
- raw total energy (eV/cell) = -32.7
- symmetry = No. 139
- relative energy among the computed polymorphs (meV/atom) = 328

---

Entry 12:
Below is Rb3Ca5I12 after structural relaxation, with properties calculated at the PBE level.

a b c (Å): 17.3465 17.3465 17.3465
angles (deg): 109.47 109.47 109.47
Atoms (fractional coordinates):
Rb 0.7500 0.3750 0.1250
Rb 0.8750 0.7500 0.1250
Rb 0.3750 0.7500 0.6250
Rb 0.2500 0.1250 0.3750
Rb 0.8750 0.1250 0.2500
Rb 0.3750 0.6250 0.2500
Rb 0.6250 0.3750 0.7500
Rb 0.1250 0.8750 0.7500
Rb 0.7500 0.8750 0.6250
Rb 0.6250 0.2500 0.3750
Rb 0.1250 0.2500 0.8750
Rb 0.2500 0.6250 0.8750
Ca 0.1250 0.3750 0.2500
Ca 0.0000 0.5000 0.0000
Ca 0.0000 0.0000 0.0000
Ca 0.3750 0.2500 0.1250
Ca 0.5000 0.0000 0.5000
Ca 0.5000 0.5000 0.0000
Ca 0.1250 0.7500 0.3750
Ca 0.7500 0.1250 0.8750
Ca 0.7500 0.6250 0.3750
Ca 0.3750 0.1250 0.7500
Ca 0.6250 0.8750 0.2500
Ca 0.5000 0.5000 0.5000
Ca 0.5000 0.0000 0.0000
Ca 0.0000 0.0000 0.5000
Ca 0.2500 0.3750 0.6250
Ca 0.2500 0.8750 0.1250
Ca 0.0000 0.5000 0.5000
Ca 0.8750 0.2500 0.6250
Ca 0.6250 0.7500 0.8750
Ca 0.8750 0.6250 0.7500
I 0.7024 0.1161 0.0261
I 0.3237 0.5261 0.4100
I 0.9739 0.3839 0.2976
I 0.5261 0.2024 0.1161
I 0.5863 0.7024 0.6763
I 0.9739 0.5900 0.1763
I 0.3237 0.7976 0.4138
I 0.0900 0.9138 0.1161
I 0.5900 0.9739 0.6763
I 0.7024 0.5863 0.1763
I 0.7976 0.4739 0.3839
I 0.8237 0.9100 0.0261
I 0.1161 0.7024 0.5261
I 0.3839 0.4100 0.0862
I 0.0862 0.9100 0.3839
I 0.4138 0.1161 0.5900
I 0.0862 0.1763 0.2024
I 0.4739 0.6763 0.0900
I 0.8237 0.9138 0.2976
I 0.1161 0.4138 0.0900
I 0.3839 0.9739 0.7976
I 0.5900 0.6161 0.4138
I 0.9100 0.8237 0.5261
I 0.7976 0.3237 0.9138
I 0.4100 0.3839 0.5863
I 0.0900 0.1763 0.4739
I 0.2024 0.6763 0.0862
I 0.1763 0.0862 0.7024
I 0.6161 0.0261 0.2024
I 0.8839 0.5863 0.9100
I 0.5261 0.3237 0.9100
I 0.5863 0.8839 0.4100
I 0.9138 0.8237 0.7976
I 0.9138 0.0900 0.6161
I 0.8839 0.2976 0.4739
I 0.1763 0.0900 0.9739
I 0.6161 0.5900 0.9138
I 0.4100 0.0261 0.3237
I 0.2976 0.4138 0.8237
I 0.2024 0.5261 0.6161
I 0.9100 0.0862 0.8839
I 0.6763 0.2024 0.5863
I 0.4739 0.7976 0.8839
I 0.0261 0.4100 0.8237
I 0.4138 0.2976 0.3237
I 0.0261 0.6161 0.7024
I 0.6763 0.4739 0.5900
I 0.2976 0.8839 0.9739

Properties
- uncorrected formation energy (eV/atom) = -1.440
- raw total energy (eV/cell) = -241.2
- symmetry = No. 230